BaSmEu2, optimized geometry, DFT PBE; ΔH_f (0 K) = 284.6 meV per atom; DOS at the Fermi energy = 5.51 states/eV per cell; relative energy among the computed polymorphs = 189 meV per atom; uncorrected energy = -6.513 eV/atom
1.0
1.897 1.095 13.857
-1.897 1.095 13.857
0.000 -2.190 13.857
Ba Sm Eu
1 1 2
Cartesian
0.000 0.000 0.000
0.000 0.000 20.786
0.000 0.000 17.364
0.000 0.000 24.208

---

AsPd6Pb, optimized geometry, DFT PBE; ΔH_f (0 K) = -214.7 meV per atom; DOS at the Fermi energy = 5.94 states/eV per cell; relative energy among the computed polymorphs = 14 meV per atom; uncorrected energy = -5.154 eV/atom
1.0
2.276 1.314 7.343
-2.276 1.314 7.343
0.000 -2.628 7.343
As Pd Pb
1 6 1
Cartesian
0.000 0.000 0.000
0.000 0.000 2.517
0.000 0.000 5.359
0.000 0.000 8.080
0.000 0.000 13.948
0.000 0.000 16.669
0.000 0.000 19.511
0.000 0.000 11.014

---

La6Ir3Ru, optimized geometry, DFT PBE; ΔH_f (0 K) = -542.1 meV per atom; DOS at the Fermi energy = 11.17 states/eV per cell; uncorrected energy = -7.084 eV/atom
1.0
7.180 0.000 0.000
0.000 7.596 0.000
-6.733 0.000 10.517
La Ir Ru
12 6 2
Cartesian
-1.119 0.498 2.600
-4.485 3.300 7.858
1.342 5.132 0.912
-2.024 6.262 6.170
2.393 1.337 0.685
-0.974 2.461 5.944
1.421 5.135 4.573
-1.945 6.259 9.831
2.472 1.334 4.346
-0.894 2.464 9.604
4.933 4.296 2.658
1.567 7.098 7.917
0.000 0.000 0.000
-3.366 3.798 5.258
-3.045 0.816 8.231
0.321 2.982 2.973
0.127 4.614 7.544
3.493 6.780 2.286
0.224 0.000 5.258
3.590 3.798 0.000

---

Calculated volume (Å³/cell)
173; 132; 574